KGa3Os | GGA-PBE | relaxed

Structure (extended XYZ):
```
20
Lattice="8.444 0.000 0.000 0.000 7.326 0.000 0.000 0.000 6.514" Properties=species:S:1:pos:R:3 pbc="T T T"
K 4.222 0.000 0.000
Os 2.937 5.495 3.977
Os 7.159 5.495 5.795
Ga 6.362 5.495 1.538
Ga 5.353 4.226 3.648
Ga 2.082 1.832 4.976
Ga 7.312 0.563 0.391
Ga 1.131 6.763 6.123
Ga 2.140 5.495 1.719
K 0.000 3.663 3.257
Ga 6.304 1.832 4.795
Ga 7.312 3.100 0.391
K 4.222 3.663 0.000
Ga 5.353 6.763 3.648
Ga 3.090 0.563 2.866
Os 5.507 1.832 2.538
Ga 1.131 4.226 6.123
Ga 3.090 3.100 2.866
Os 1.285 1.832 0.719
K 0.000 0.000 3.257
```

Computed properties:
Formation energy from the elements ... 0.2725 eV/atom
Total DFT energy (no corrections) ... -4.0091 eV per atom
Energy above the lowest structure with this stoichiometry ... 0.5114 eV/atom
Calculated volume ... 20.1 Å³ per atom